Li2CdO2 | PBE-GGA | optimized geometry

Cell: 5.121 5.121 5.590 Å, 118.13 118.13 84.33°
Positions (direct):
Li 0.034 0.265 0.023
Li 0.265 0.034 0.523
Li 0.735 0.966 0.477
Li 0.966 0.735 0.977
Cd 0.341 0.659 0.750
Cd 0.659 0.341 0.250
O 0.058 0.341 0.715
O 0.341 0.058 0.215
O 0.659 0.942 0.785
O 0.942 0.659 0.285

Its crystal system is monoclinic. The calculation puts the magnetization at 0.000 μB/cell. Its total energy is -0.1617 hartree per atom. The density of states at the Fermi level comes out at 0.0 states/eV per cell. Its energy above the most stable polymorph in this dataset is 0.0 meV per atom.

---

CrNiSb | PBE-GGA | optimized geometry

Cell: 4.269 4.269 4.269 Å, 60.00 60.00 60.00°
Positions (direct):
Cr 0.000 0.000 0.000
Ni 0.500 0.500 0.500
Sb 0.250 0.250 0.250

Its crystal system is cubic. The calculation puts the magnetization at 3.074 μB/cell. Its total energy is -0.2307 hartree per atom. The density of states at the Fermi level comes out at 1.7 states/eV per cell.

---

| no. | theoretical density (kg/m³) |
| --- | --- |
| 1 | 4670 |
| 2 | 7015 |